Record 1
K2InAu5 | PBE | optimized geometry

D(E_F) = 0.16 states/eV/atom
raw total energy = -2.892 eV per atom
M_tot = 0.0 μB/f.u.
energy relative to the elements = -227 meV per atom

a = 7.135 Å, b = 7.135 Å, c = 7.135 Å
α = 125.55°, β = 125.55°, γ = 80.63°
Sites, in units of the cell vectors:
K  0.000  0.500  0.500
K  0.500  0.000  0.500
In  0.183  0.183  0.000
Au  0.531  0.531  0.565
Au  0.531  0.966  0.000
Au  0.934  0.934  0.000
Au  0.966  0.531  0.000
Au  0.966  0.966  0.435

=====

Record 2
K3InAu | PBE | optimized geometry

D(E_F) = 0.53 states/eV/atom
energy above the lowest structure with this stoichiometry = 0.0 meV per atom
raw total energy = -2.035 eV per atom
M_tot = 0.0 μB/f.u.
energy relative to the elements = -174 meV per atom

a = 5.182 Å, b = 11.373 Å, c = 6.925 Å
α = 90.00°, β = 90.03°, γ = 90.00°
Sites, in units of the cell vectors:
K  0.250  0.032  0.203
K  0.250  0.468  0.203
K  0.250  0.750  0.554
K  0.750  0.250  0.446
K  0.750  0.532  0.797
K  0.750  0.968  0.797
In  0.250  0.250  0.816
In  0.750  0.750  0.184
Au  0.249  0.750  0.047
Au  0.751  0.250  0.953

=====

Record 3
K5In4Au4 | PBE | optimized geometry

D(E_F) = 0.49 states/eV/atom
raw total energy = -2.512 eV per atom
M_tot = 0.0 μB/f.u.
energy relative to the elements = -239 meV per atom

a = 9.465 Å, b = 9.465 Å, c = 9.465 Å
α = 93.96°, β = 93.96°, γ = 149.52°
Sites, in units of the cell vectors:
K  0.000  0.000  0.000
K  0.297  0.357  0.654
K  0.357  0.703  0.060
K  0.643  0.297  0.940
K  0.703  0.643  0.346
In  0.113  0.561  0.673
In  0.439  0.113  0.552
In  0.561  0.887  0.448
In  0.887  0.439  0.327
Au  0.041  0.277  0.317
Au  0.277  0.959  0.236
Au  0.723  0.041  0.764
Au  0.959  0.723  0.683

=====

Record 4
KIn2Au2 | PBE | optimized geometry

D(E_F) = 0.36 states/eV/atom
energy above the lowest structure with this stoichiometry = 22.8 meV per atom
raw total energy = -2.916 eV per atom
M_tot = 0.0 μB/f.u.
energy relative to the elements = -290 meV per atom

a = 6.716 Å, b = 6.716 Å, c = 6.716 Å
α = 137.77°, β = 137.77°, γ = 61.26°
Sites, in units of the cell vectors:
K  0.000  0.000  0.000
In  0.250  0.750  0.500
In  0.750  0.250  0.500
Au  0.381  0.381  0.000
Au  0.619  0.619  0.000

=====

Which formula does entry 3 have? K5In4Au4